(1)
Below is crystalline TbZr2Zn at its relaxed geometry, with properties calculated at the GGA-PBE level.

```
data_TbZr2Zn
_chemical_formula_sum 'Tb3 Zr6 Zn3'
_space_group_name_H-M_alt 'P 1'
_space_group_IT_number 1
_cell_length_a 3.1697
_cell_length_b 3.1697
_cell_length_c 32.8615
_cell_angle_alpha 90.00
_cell_angle_beta 90.00
_cell_angle_gamma 120.00
loop_
_space_group_symop_operation_xyz
'x,y,z'
loop_
_atom_site_label
_atom_site_fract_x
_atom_site_fract_y
_atom_site_fract_z
Tb1 0.0000 0.0000 0.0000
Tb2 0.3333 0.6667 0.6667
Tb3 0.6667 0.3333 0.3333
Zr1 0.0000 0.0000 0.0982
Zr2 0.0000 0.0000 0.9018
Zr3 0.3333 0.6667 0.5684
Zr4 0.3333 0.6667 0.7649
Zr5 0.6667 0.3333 0.2351
Zr6 0.6667 0.3333 0.4316
Zn1 0.0000 0.0000 0.5000
Zn2 0.3333 0.6667 0.1667
Zn3 0.6667 0.3333 0.8333
```

raw total energy	-5.513	eV per atom
space group	R-3m (166)
calculated formation energy	0.237	eV per atom

(2)
Below is crystalline YNb at its relaxed geometry, with properties calculated at the GGA-PBE level.

```
data_YNb
_chemical_formula_sum 'Y4 Nb4'
_space_group_name_H-M_alt 'P 1'
_space_group_IT_number 1
_cell_length_a 7.4312
_cell_length_b 6.9808
_cell_length_c 6.0359
_cell_angle_alpha 69.19
_cell_angle_beta 61.41
_cell_angle_gamma 49.40
loop_
_space_group_symop_operation_xyz
'x,y,z'
loop_
_atom_site_label
_atom_site_fract_x
_atom_site_fract_y
_atom_site_fract_z
Y1 0.0579 0.6921 0.0579
Y2 0.3079 0.9421 0.3079
Y3 0.6921 0.0579 0.6921
Y4 0.9421 0.3079 0.9421
Nb1 0.2248 0.5252 0.5252
Nb2 0.4748 0.7752 0.7752
Nb3 0.5252 0.2248 0.2248
Nb4 0.7752 0.4748 0.4748
```

raw total energy	-7.610	eV per atom
space group	Fddd (70)
calculated formation energy	0.657	eV per atom

(3)
Below is crystalline AcPrHg at its relaxed geometry, with properties calculated at the GGA-PBE level.

```
data_AcPrHg
_chemical_formula_sum 'Ac2 Pr2 Hg2'
_space_group_name_H-M_alt 'P 1'
_space_group_IT_number 1
_cell_length_a 5.0709
_cell_length_b 5.0709
_cell_length_c 8.2136
_cell_angle_alpha 90.00
_cell_angle_beta 90.00
_cell_angle_gamma 90.00
loop_
_space_group_symop_operation_xyz
'x,y,z'
loop_
_atom_site_label
_atom_site_fract_x
_atom_site_fract_y
_atom_site_fract_z
Ac1 0.2500 0.2500 0.1348
Ac2 0.7500 0.7500 0.8652
Pr1 0.2500 0.7500 0.5000
Pr2 0.7500 0.2500 0.5000
Hg1 0.2500 0.2500 0.7467
Hg2 0.7500 0.7500 0.2533
```

raw total energy	-3.364	eV per atom
space group	P4/nmm (129)
calculated formation energy	-0.301	eV per atom

(4)
Below is crystalline HfCo2P at its relaxed geometry, with properties calculated at the GGA-PBE level.

```
data_HfCo2P
_chemical_formula_sum 'Hf8 Co16 P8'
_space_group_name_H-M_alt 'P 1'
_space_group_IT_number 1
_cell_length_a 13.1521
_cell_length_b 6.3782
_cell_length_c 4.9209
_cell_angle_alpha 90.00
_cell_angle_beta 90.00
_cell_angle_gamma 90.00
loop_
_space_group_symop_operation_xyz
'x,y,z'
loop_
_atom_site_label
_atom_site_fract_x
_atom_site_fract_y
_atom_site_fract_z
Hf1 0.1109 0.2500 0.2403
Hf2 0.1363 0.7500 0.0163
Hf3 0.3637 0.2500 0.5163
Hf4 0.3891 0.7500 0.7403
Hf5 0.6109 0.2500 0.2597
Hf6 0.6363 0.7500 0.4837
Hf7 0.8637 0.2500 0.9837
Hf8 0.8891 0.7500 0.7597
Co1 0.0358 0.0506 0.7462
Co2 0.0358 0.4494 0.7462
Co3 0.2140 0.5525 0.5311
Co4 0.2140 0.9475 0.5311
Co5 0.2860 0.0525 0.0311
Co6 0.2860 0.4475 0.0311
Co7 0.4642 0.5506 0.2462
Co8 0.4642 0.9494 0.2462
Co9 0.5358 0.0506 0.7538
Co10 0.5358 0.4494 0.7538
Co11 0.7140 0.5525 0.9689
Co12 0.7140 0.9475 0.9689
Co13 0.7860 0.0525 0.4689
Co14 0.7860 0.4475 0.4689
Co15 0.9642 0.5506 0.2538
Co16 0.9642 0.9494 0.2538
P1 0.0688 0.7500 0.5165
P2 0.1826 0.2500 0.7512
P3 0.3174 0.7500 0.2512
P4 0.4312 0.2500 0.0165
P5 0.5688 0.7500 0.9835
P6 0.6826 0.2500 0.7488
P7 0.8174 0.7500 0.2488
P8 0.9312 0.2500 0.4835
```

raw total energy	-8.226	eV per atom
space group	Pnma (62)
calculated formation energy	-0.832	eV per atom

(5)
Below is crystalline NaTl6Bi2 at its relaxed geometry, with properties calculated at the GGA-PBE level.

```
data_NaTl6Bi2
_chemical_formula_sum 'Na1 Tl6 Bi2'
_space_group_name_H-M_alt 'P 1'
_space_group_IT_number 1
_cell_length_a 8.1692
_cell_length_b 8.1692
_cell_length_c 12.0537
_cell_angle_alpha 121.59
_cell_angle_beta 121.59
_cell_angle_gamma 25.26
loop_
_space_group_symop_operation_xyz
'x,y,z'
loop_
_atom_site_label
_atom_site_fract_x
_atom_site_fract_y
_atom_site_fract_z
Na1 0.0000 0.0000 0.0000
Tl1 0.0388 0.0388 0.7347
Tl2 0.2415 0.2415 0.1142
Tl3 0.3688 0.3688 0.4566
Tl4 0.6312 0.6312 0.5434
Tl5 0.7585 0.7585 0.8858
Tl6 0.9612 0.9612 0.2653
Bi1 0.3489 0.3489 0.7271
Bi2 0.6511 0.6511 0.2729
```

raw total energy	-2.626	eV per atom
space group	C2/m (12)
calculated formation energy	-0.039	eV per atom

(6)
Below is crystalline Y4Ga16Cu3 at its relaxed geometry, with properties calculated at the GGA-PBE level.

```
data_Y4Ga16Cu3
_chemical_formula_sum 'Y4 Ga16 Cu3'
_space_group_name_H-M_alt 'P 1'
_space_group_IT_number 1
_cell_length_a 6.2175
_cell_length_b 6.2175
_cell_length_c 10.9983
_cell_angle_alpha 90.00
_cell_angle_beta 90.00
_cell_angle_gamma 90.00
loop_
_space_group_symop_operation_xyz
'x,y,z'
loop_
_atom_site_label
_atom_site_fract_x
_atom_site_fract_y
_atom_site_fract_z
Y1 0.0000 0.5000 0.1904
Y2 0.0000 0.5000 0.8096
Y3 0.5000 0.0000 0.1904
Y4 0.5000 0.0000 0.8096
Ga1 0.0000 0.0000 0.2000
Ga2 0.0000 0.0000 0.8000
Ga3 0.2137 0.2137 0.0000
Ga4 0.2137 0.7863 0.0000
Ga5 0.2427 0.2427 0.3795
Ga6 0.2427 0.2427 0.6205
Ga7 0.2427 0.7573 0.3795
Ga8 0.2427 0.7573 0.6205
Ga9 0.5000 0.5000 0.2321
Ga10 0.5000 0.5000 0.7679
Ga11 0.7573 0.2427 0.3795
Ga12 0.7573 0.2427 0.6205
Ga13 0.7573 0.7573 0.3795
Ga14 0.7573 0.7573 0.6205
Ga15 0.7863 0.2137 0.0000
Ga16 0.7863 0.7863 0.0000
Cu1 0.0000 0.5000 0.5000
Cu2 0.5000 0.0000 0.5000
Cu3 0.5000 0.5000 0.0000
```

raw total energy	-4.160	eV per atom
space group	P4/mmm (123)
calculated formation energy	-0.396	eV per atom

(7)
Below is crystalline Sc5CuAg at its relaxed geometry, with properties calculated at the GGA-PBE level.

```
data_Sc5CuAg
_chemical_formula_sum 'Sc10 Cu2 Ag2'
_space_group_name_H-M_alt 'P 1'
_space_group_IT_number 1
_cell_length_a 5.2910
_cell_length_b 5.2910
_cell_length_c 11.4120
_cell_angle_alpha 98.72
_cell_angle_beta 98.72
_cell_angle_gamma 78.27
loop_
_space_group_symop_operation_xyz
'x,y,z'
loop_
_atom_site_label
_atom_site_fract_x
_atom_site_fract_y
_atom_site_fract_z
Sc1 0.0103 0.9897 0.7500
Sc2 0.0961 0.4260 0.6247
Sc3 0.2088 0.5066 0.9168
Sc4 0.4260 0.0961 0.1247
Sc5 0.4934 0.7912 0.5832
Sc6 0.5066 0.2088 0.4168
Sc7 0.5740 0.9039 0.8753
Sc8 0.7912 0.4934 0.0832
Sc9 0.9039 0.5740 0.3753
Sc10 0.9897 0.0103 0.2500
Cu1 0.0000 0.0000 0.0000
Cu2 0.0000 0.0000 0.5000
Ag1 0.3993 0.6007 0.2500
Ag2 0.6007 0.3993 0.7500
```

raw total energy	-5.503	eV per atom
space group	C2/c (15)
calculated formation energy	0.012	eV per atom

(8)
Below is crystalline Cr2CuTc at its relaxed geometry, with properties calculated at the GGA-PBE level.

```
data_Cr2CuTc
_chemical_formula_sum 'Cr2 Cu1 Tc1'
_space_group_name_H-M_alt 'P 1'
_space_group_IT_number 1
_cell_length_a 2.5997
_cell_length_b 2.5997
_cell_length_c 7.5455
_cell_angle_alpha 90.00
_cell_angle_beta 90.00
_cell_angle_gamma 90.00
loop_
_space_group_symop_operation_xyz
'x,y,z'
loop_
_atom_site_label
_atom_site_fract_x
_atom_site_fract_y
_atom_site_fract_z
Cr1 0.0000 0.0000 0.2472
Cr2 0.0000 0.0000 0.7528
Cu1 0.5000 0.5000 0.0000
Tc1 0.5000 0.5000 0.5000
```

raw total energy	-8.070	eV per atom
space group	P4/mmm (123)
calculated formation energy	0.357	eV per atom